This record from the Alexandria database describes an optimized crystal structure of KAc2MoO5. The functional is PBE+U.

Summary:
* electronic total energy: -7.00 eV per atom

Unit cell a=5.9540 b=7.3368 c=7.3368 alpha=90.00 beta=90.00 gamma=90.00
Element x y z (fractional)
O1 0.2422 0.1312 0.6312
Mo1 0.0000 0.0000 0.5000
O2 0.7578 0.3688 0.1312
O3 0.2422 0.3688 0.1312
O4 0.5000 0.5000 0.5000
O5 0.7578 0.6312 0.8688
O6 0.2422 0.8688 0.3688
O7 0.5000 0.0000 0.0000
Mo2 0.0000 0.5000 0.0000
Ac1 0.5000 0.8186 0.6814
O8 0.7578 0.1312 0.6312
Ac2 0.5000 0.3186 0.8186
Ac3 0.5000 0.6814 0.1814
O9 0.7578 0.8688 0.3688
K1 0.0000 0.0000 0.0000
O10 0.2422 0.6312 0.8688
K2 0.0000 0.5000 0.5000
Ac4 0.5000 0.1814 0.3186